CaErTm2As4 | PBE | relaxed

Unit cell a=7.1276 b=4.0904 c=7.1327 alpha=90.00 beta=109.23 gamma=90.00
Space group P2/m (No. 10)
Symmetry-distinct sites (fractional):
Ca 0.0000 0.0000 0.0000
Er 0.5000 0.5000 0.0000
Tm 0.0000 0.5000 0.5000
Tm 0.5000 0.0000 0.5000
As 0.2529 0.0000 0.7454
As 0.2584 0.5000 0.2593

crystal system: monoclinic
magnetization: 0.00 μB per formula unit
mass density: 7.1 g/cm3
N(E_F): 0.425 states/eV/atom
DFT formation energy: -1353.4 meV per atom
E: -44.932 eV per cell

***

CaEr2TmAs4 | PBE | relaxed

Unit cell a=7.1356 b=4.0964 c=7.1413 alpha=90.00 beta=109.25 gamma=90.00
Space group P2/m (No. 10)
Symmetry-distinct sites (fractional):
Ca 0.0000 0.0000 0.0000
Er 0.5000 0.0000 0.5000
Er 0.5000 0.5000 0.0000
Tm 0.0000 0.5000 0.5000
As 0.2525 0.0000 0.7458
As 0.2575 0.5000 0.2584

crystal system: monoclinic
magnetization: 0.00 μB per formula unit
mass density: 7.1 g/cm3
N(E_F): 0.431 states/eV/atom
DFT formation energy: -1355.2 meV per atom
E: -45.039 eV per cell

***

CaErU2As4 | PBE | relaxed

Unit cell a=7.1010 b=4.0899 c=7.2076 alpha=90.00 beta=109.09 gamma=90.00
Space group P2/m (No. 10)
Symmetry-distinct sites (fractional):
Ca 0.0000 0.0000 0.0000
Er 0.5000 0.5000 0.0000
U 0.0000 0.5000 0.5000
U 0.5000 0.0000 0.5000
As 0.2531 0.0000 0.7466
As 0.2579 0.5000 0.2592

crystal system: monoclinic
magnetization: 4.69 μB per formula unit
mass density: 8.3 g/cm3
N(E_F): 1.239 states/eV/atom
DFT formation energy: -1043.2 meV per atom
E: -56.085 eV per cell